{"formula": "LiTl3Cd", "functional": "PBE", "state": "optimized geometry", "cell": [[-4.7791, 1.5670, 2.0613], [-2.0746, -6.3798, 0.0398], [5.0571, -1.6084, 5.7812]], "species": ["Li", "Tl", "Tl", "Tl", "Cd", "Tl", "Li", "Tl", "Tl", "Cd"], "fractional_positions": [[0.3709, 0.7500, 0.7417], [0.8123, 0.0018, 0.6246], [0.1877, 0.5018, 0.3754], [0.4109, 0.2500, 0.8218], [0.9887, 0.7500, 0.9775], [0.1877, 0.9982, 0.3754], [0.6291, 0.2500, 0.2583], [0.5891, 0.7500, 0.1782], [0.8123, 0.4982, 0.6246], [0.0113, 0.2500, 0.0225]], "total_magnetization_mub_per_cell": 0.00, "relative_energy_ev_per_atom": 0.000, "formation_enthalpy_0k_ev_per_fu": -0.15}



{"formula": "LiTlCd2", "functional": "PBE", "state": "optimized geometry", "cell": [[-5.2849, 2.4841, -2.3323], [1.2961, -4.6518, -2.0163], [-2.3736, -1.3843, 1.6778]], "species": ["Cd", "Tl", "Li", "Cd"], "fractional_positions": [[0.0000, 0.0000, 0.0000], [0.5000, 0.0000, 0.5000], [0.5000, 0.5000, 0.0000], [0.0000, 0.5000, 0.5000]], "total_magnetization_mub_per_cell": 0.00, "formation_enthalpy_0k_ev_per_fu": -0.26}



{"formula": "Li9TlCd2", "functional": "PBE", "state": "optimized geometry", "cell": [[4.1992, 0.0000, 0.0000], [0.0000, 4.1992, 0.0000], [0.0000, 0.0000, 12.6644]], "species": ["Li", "Cd", "Li", "Li", "Li", "Cd", "Li", "Tl", "Li", "Li", "Li", "Li"], "fractional_positions": [[0.5000, 0.5000, 0.3350], [0.0000, 0.0000, 0.3352], [0.0000, 0.5000, 0.1692], [0.5000, 0.5000, 0.6650], [0.5000, 0.5000, 0.0000], [0.0000, 0.0000, 0.6648], [0.5000, 0.0000, 0.8308], [0.0000, 0.0000, 0.0000], [0.0000, 0.5000, 0.8308], [0.0000, 0.5000, 0.5000], [0.5000, 0.0000, 0.1692], [0.5000, 0.0000, 0.5000]], "total_magnetization_mub_per_cell": 0.00, "formation_enthalpy_0k_ev_per_fu": -2.14}



{"formula": "Li6Tl3Cd", "functional": "PBE", "state": "optimized geometry", "cell": [[-1.6350, 4.7824, -5.1793], [1.2652, -1.6093, -6.9411], [-5.5339, -1.2746, -4.4857]], "species": ["Li", "Tl", "Cd", "Tl", "Li", "Li", "Tl", "Li", "Li", "Li"], "fractional_positions": [[0.7509, 0.2491, 0.7509], [0.2500, 0.2500, 0.2500], [0.0000, 0.0000, 0.0000], [0.7500, 0.7500, 0.7500], [0.2491, 0.2491, 0.7509], [0.2491, 0.7509, 0.2491], [0.5000, 0.5000, 0.5000], [0.2491, 0.7509, 0.7509], [0.7509, 0.7509, 0.2491], [0.7509, 0.2491, 0.2491]], "total_magnetization_mub_per_cell": 0.00, "relative_energy_ev_per_atom": 0.336, "formation_enthalpy_0k_ev_per_fu": 1.11}



{"formula": "Li12TlCd3", "functional": "PBE", "state": "optimized geometry", "cell": [[-0.2163, 3.0834, -2.8199], [2.1927, -2.3199, -2.7049], [-14.4748, -6.5829, -6.0879]], "species": ["Li", "Li", "Li", "Li", "Cd", "Li", "Li", "Li", "Li", "Cd", "Li", "Cd", "Tl", "Li", "Li", "Li"], "fractional_positions": [[0.5000, 0.0000, 0.3757], [0.5000, 0.5000, 0.0000], [0.5000, 0.0000, 0.8731], [0.0000, 0.5000, 0.8731], [0.0000, 0.0000, 0.7490], [0.5000, 0.0000, 0.6243], [0.5000, 0.0000, 0.1269], [0.0000, 0.5000, 0.3757], [0.0000, 0.5000, 0.1269], [0.0000, 0.0000, 0.2510], [0.5000, 0.5000, 0.5000], [0.0000, 0.0000, 0.5000], [0.0000, 0.0000, 0.0000], [0.0000, 0.5000, 0.6243], [0.5000, 0.5000, 0.2513], [0.5000, 0.5000, 0.7487]], "total_magnetization_mub_per_cell": 0.00, "formation_enthalpy_0k_ev_per_fu": -2.76}



{"formula": "Li3TlCd5", "functional": "PBE", "state": "optimized geometry", "cell": [[5.9935, 0.0000, 0.0000], [0.0000, 8.4373, 0.0000], [0.0000, -4.2186, 7.3067]], "species": ["Li", "Cd", "Cd", "Cd", "Tl", "Cd", "Li", "Cd", "Li", "Cd", "Cd", "Cd", "Cd", "Li", "Tl", "Li", "Li", "Cd"], "fractional_positions": [[0.7500, 0.0001, 0.6784], [0.2500, 0.6498, 0.0000], [0.7500, 0.3502, 0.0000], [0.5000, 0.6667, 0.3333], [0.5000, 0.0000, 0.0000], [0.5000, 0.3333, 0.6667], [0.2500, 0.9999, 0.3216], [0.0000, 0.6667, 0.3333], [0.7500, 0.6783, 0.0000], [0.0000, 0.3333, 0.6667], [0.7500, 0.0000, 0.3501], [0.2500, 0.0000, 0.6499], [0.7500, 0.6499, 0.6499], [0.2500, 0.6784, 0.6784], [0.0000, 0.0000, 0.0000], [0.7500, 0.3216, 0.3216], [0.2500, 0.3217, 0.0000], [0.2500, 0.3501, 0.3501]], "total_magnetization_mub_per_cell": 0.00, "formation_enthalpy_0k_ev_per_fu": -1.42}



{"formula": "Li7TlCd4", "functional": "PBE", "state": "optimized geometry", "cell": [[-0.4922, -2.2906, 4.4665], [6.4668, 1.6780, 4.4210], [-0.6434, 4.9656, 5.3234]], "species": ["Li", "Li", "Li", "Cd", "Tl", "Cd", "Li", "Li", "Cd", "Cd", "Li", "Li"], "fractional_positions": [[0.7772, 0.2426, 0.2029], [0.9194, 0.4301, 0.7311], [0.2228, 0.7574, 0.7971], [0.4308, 0.7147, 0.4238], [0.0000, 0.0000, 0.0000], [0.3248, 0.3705, 0.9799], [0.5000, 0.0000, 0.0000], [0.0806, 0.5699, 0.2689], [0.6752, 0.6295, 0.0201], [0.5692, 0.2853, 0.5762], [0.7950, 0.8676, 0.5424], [0.2050, 0.1324, 0.4576]], "total_magnetization_mub_per_cell": 0.00, "relative_energy_ev_per_atom": 0.090, "formation_enthalpy_0k_ev_per_fu": -1.58}



{"formula": "LiTl2Cd6", "functional": "PBE", "state": "optimized geometry", "cell": [[3.2831, 0.0002, 0.0015], [0.0025, 7.7130, 4.4355], [0.0010, 0.0156, 8.8974]], "species": ["Cd", "Cd", "Tl", "Cd", "Cd", "Li", "Cd", "Tl", "Cd"], "fractional_positions": [[0.5000, 0.6733, 0.3267], [0.5018, 0.0000, 0.3266], [0.0000, 0.6667, 0.6667], [0.4982, 0.6734, 0.0000], [0.5018, 0.3266, 0.0000], [0.0000, 0.0000, 0.0000], [0.4982, 0.0000, 0.6734], [0.0000, 0.3333, 0.3333], [0.5000, 0.3267, 0.6733]], "total_magnetization_mub_per_cell": 0.00, "formation_enthalpy_0k_ev_per_fu": -0.11}



{"formula": "Li12TlCd2", "functional": "PBE", "state": "optimized geometry", "cell": [[5.4997, 0.0000, 0.0000], [0.0000, 5.4997, 0.0000], [0.0000, 0.0000, 19.8547]], "species": ["Li", "Li", "Li", "Li", "Li", "Li", "Tl", "Cd", "Li", "Li", "Li", "Tl", "Li", "Li", "Li", "Cd", "Li", "Li", "Li", "Cd", "Li", "Li", "Li", "Li", "Li", "Li", "Li", "Li", "Cd", "Li"], "fractional_positions": [[0.3229, 0.8229, 0.4380], [0.8229, 0.3229, 0.5620], [0.2506, 0.2494, 0.8906], [0.2506, 0.7506, 0.1094], [0.0000, 0.0000, 0.2186], [0.7506, 0.2506, 0.8906], [0.0000, 0.5000, 0.0000], [0.5000, 0.0000, 0.7132], [0.5000, 0.5000, 0.3427], [0.6771, 0.8229, 0.5620], [0.6771, 0.1771, 0.4380], [0.5000, 0.0000, 0.0000], [0.1771, 0.3229, 0.4380], [0.0000, 0.0000, 0.6573], [0.7494, 0.7506, 0.8906], [0.5000, 0.0000, 0.2868], [0.5000, 0.5000, 0.2186], [0.2494, 0.7494, 0.8906], [0.8229, 0.6771, 0.4380], [0.0000, 0.5000, 0.7132], [0.5000, 0.5000, 0.6573], [0.0000, 0.0000, 0.3427], [0.0000, 0.0000, 0.7814], [0.3229, 0.1771, 0.5620], [0.7506, 0.7494, 0.1094], [0.1771, 0.6771, 0.5620], [0.5000, 0.5000, 0.7814], [0.7494, 0.2494, 0.1094], [0.0000, 0.5000, 0.2868], [0.2494, 0.2506, 0.1094]], "total_magnetization_mub_per_cell": 0.69, "formation_enthalpy_0k_ev_per_fu": 0.33}



{"formula": "Li4Tl2Cd5", "functional": "PBE", "state": "optimized geometry", "cell": [[4.3244, 0.0000, -1.2353], [0.0661, 10.8519, 0.2313], [-0.8515, 0.8763, 5.2061]], "species": ["Li", "Cd", "Tl", "Li", "Tl", "Cd", "Cd", "Li", "Cd", "Li", "Cd"], "fractional_positions": [[0.9590, 0.8247, 0.9179], [0.2145, 0.9169, 0.4290], [0.5884, 0.3421, 0.1768], [0.3138, 0.2713, 0.6277], [0.4116, 0.6579, 0.8232], [0.8613, 0.4500, 0.7226], [0.7855, 0.0831, 0.5710], [0.0410, 0.1753, 0.0821], [0.5000, 0.0000, 0.0000], [0.6862, 0.7287, 0.3723], [0.1387, 0.5500, 0.2774]], "total_magnetization_mub_per_cell": 0.00, "formation_enthalpy_0k_ev_per_fu": -1.74}



{"formula": "Li2TlCd", "functional": "PBE", "state": "optimized geometry", "cell": [[4.8437, 0.0000, 0.0000], [0.0000, 3.3423, 0.0016], [0.0000, -0.0018, 4.8449]], "species": ["Cd", "Li", "Li", "Tl"], "fractional_positions": [[0.5000, 0.6251, 0.8734], [0.5000, 0.1250, 0.3736], [0.0000, 0.1250, 0.8769], [0.0000, 0.6249, 0.3761]], "total_magnetization_mub_per_cell": 0.00, "formation_enthalpy_0k_ev_per_fu": -1.01}



{"formula": "Li2TlCd", "functional": "PBE", "state": "optimized geometry", "cell": [[3.3957, 0.0000, 0.0000], [0.0000, 3.7251, 0.0000], [0.0000, 0.0000, 6.4970]], "species": ["Tl", "Li", "Li", "Cd"], "fractional_positions": [[0.0000, 0.0000, 0.4733], [0.0000, 0.0000, 0.9953], [0.5000, 0.5000, 0.2429], [0.5000, 0.5000, 0.7885]], "total_magnetization_mub_per_cell": 0.00, "formation_enthalpy_0k_ev_per_fu": -0.72}



Question: Number 7 is which compound?
Answer: Li7TlCd4



Repeat the third record exactly.
{"formula": "Li9TlCd2", "functional": "PBE", "state": "optimized geometry", "cell": [[4.1992, 0.0000, 0.0000], [0.0000, 4.1992, 0.0000], [0.0000, 0.0000, 12.6644]], "species": ["Li", "Cd", "Li", "Li", "Li", "Cd", "Li", "Tl", "Li", "Li", "Li", "Li"], "fractional_positions": [[0.5000, 0.5000, 0.3350], [0.0000, 0.0000, 0.3352], [0.0000, 0.5000, 0.1692], [0.5000, 0.5000, 0.6650], [0.5000, 0.5000, 0.0000], [0.0000, 0.0000, 0.6648], [0.5000, 0.0000, 0.8308], [0.0000, 0.0000, 0.0000], [0.0000, 0.5000, 0.8308], [0.0000, 0.5000, 0.5000], [0.5000, 0.0000, 0.1692], [0.5000, 0.0000, 0.5000]], "total_magnetization_mub_per_cell": 0.00, "formation_enthalpy_0k_ev_per_fu": -2.14}